No. 1
Compound: Sc2TlPd2
Source: Alexandria
Functional: PBE-GGA
Structure: relaxed

Geometry as POSCAR:
```
Sc2TlPd2
1.0
-1.9586 1.9586 6.9770
1.9586 -1.9586 6.9770
1.9586 1.9586 -6.9770
Sc Tl Pd
2 1 2
direct
0.1173 0.1173 0.0000 Sc
0.8827 0.8827 0.0000 Sc
0.5000 0.5000 0.0000 Tl
0.2500 0.7500 0.5000 Pd
0.7500 0.2500 0.5000 Pd
```

Computed properties:
**Symmetry**: I4/mmm (139)
**ΔE_f**: -0.44 eV per atom
**Total magnetization**: 0.0 Bohr magnetons per cell

***

No. 2
Compound: B5C7
Source: Alexandria
Functional: PBE-GGA
Structure: relaxed

Geometry as POSCAR:
```
B5C7
1.0
4.4025 -1.3175 0.0000
4.4025 1.3175 0.0000
-3.2229 0.0000 6.9695
B C
5 7
direct
0.0000 0.0000 0.0000 B
0.2963 0.2963 0.1162 B
0.5516 0.5516 0.4282 B
0.6708 0.6708 0.8454 B
0.8485 0.8485 0.5479 B
0.0196 0.0196 0.5162 C
0.1784 0.1784 0.2270 C
0.1777 0.1777 0.7025 C
0.3421 0.3421 0.6849 C
0.4958 0.4958 0.8655 C
0.6754 0.6754 0.3267 C
0.8369 0.8369 0.0451 C
```

Computed properties:
**Symmetry**: Cm (8)
**Energy above the most stable polymorph in this dataset**: 0.024 eV/atom
**ΔE_f**: 0.28 eV per atom
**Total magnetization**: 0.0 Bohr magnetons per cell

***

No. 3
Compound: CeAsRhS
Source: Alexandria
Functional: PBE-GGA
Structure: relaxed

Geometry as POSCAR:
```
CeAsRhS
1.0
4.3217 0.0000 0.0000
0.0000 4.3217 0.0000
0.0000 0.0000 8.5892
Ce As Rh S
2 2 2 2
direct
0.2500 0.2500 0.1971 Ce
0.7500 0.7500 0.8029 Ce
0.2500 0.2500 0.6501 As
0.7500 0.7500 0.3499 As
0.2500 0.7500 0.5000 Rh
0.7500 0.2500 0.5000 Rh
0.2500 0.7500 0.0000 S
0.7500 0.2500 0.0000 S
```

Computed properties:
**Symmetry**: P4/nmm (129)
**Energy relative to the elements, uncorrected**: -4.73 eV/f.u.
**Total magnetization**: 1.6 Bohr magnetons per cell

***

No. 4
Compound: CePr2ThN4
Source: Alexandria
Functional: PBE-GGA
Structure: relaxed

Geometry as POSCAR:
```
CePr2ThN4
1.0
6.3221 0.0000 0.0000
0.0000 3.6546 0.0000
-2.1062 0.0000 5.9705
Ce Pr Th N
1 2 1 4
direct
0.0000 0.0000 0.0000 Ce
0.0000 0.5000 0.5000 Pr
0.5000 0.0000 0.5000 Pr
0.5000 0.5000 0.0000 Th
0.2428 0.5000 0.2305 N
0.2556 0.0000 0.7687 N
0.7444 0.0000 0.2313 N
0.7572 0.5000 0.7695 N
```

Computed properties:
**Symmetry**: P2/m (10)
**Energy relative to the elements, uncorrected**: -11.70 eV/f.u.
**Total magnetization**: 0.0 Bohr magnetons per cell

***

No. 5
Compound: InGeN2O
Source: Alexandria
Functional: PBE-GGA
Structure: relaxed

Geometry as POSCAR:
```
InGeN2O
1.0
4.2814 0.0000 0.0000
0.0000 4.2814 0.0000
0.0000 0.0000 4.2333
In Ge N O
1 1 2 1
direct
0.0000 0.0000 0.0000 In
0.5000 0.5000 0.5000 Ge
0.0000 0.5000 0.0000 N
0.5000 0.0000 0.0000 N
0.0000 0.0000 0.5000 O
```

Computed properties:
**Symmetry**: P4/mmm (123)
**Energy relative to the elements, uncorrected**: 5.92 eV/f.u.
**Total magnetization**: 2.9 Bohr magnetons per cell

***

No. 6
Compound: Pm2GaI
Source: Alexandria
Functional: PBE-GGA
Structure: relaxed

Geometry as POSCAR:
```
Pm2GaI
1.0
2.1747 1.2555 7.5190
-2.1747 1.2555 7.5190
0.0000 -2.5111 7.5190
Pm Ga I
2 1 1
direct
0.2370 0.2370 0.2370 Pm
0.7630 0.7630 0.7630 Pm
0.5000 0.5000 0.5000 Ga
0.0000 0.0000 0.0000 I
```

Computed properties:
**Symmetry**: R-3m (166)
**Energy above the most stable polymorph in this dataset**: 0.000 eV/atom
**Energy relative to the elements, uncorrected**: -3.04 eV/f.u.
**Total magnetization**: 0.0 Bohr magnetons per cell

***

Which value of total magnetization does entry 6 give?
0.0 Bohr magnetons per cell

***

The highest total magnetization belongs to which entry?
InGeN2O

***

What is the total magnetization in the first record?
0.0 Bohr magnetons per cell

***

Repeat the fifth record exactly.
Compound: InGeN2O
Source: Alexandria
Functional: PBE-GGA
Structure: relaxed

Geometry as POSCAR:
```
InGeN2O
1.0
4.2814 0.0000 0.0000
0.0000 4.2814 0.0000
0.0000 0.0000 4.2333
In Ge N O
1 1 2 1
direct
0.0000 0.0000 0.0000 In
0.5000 0.5000 0.5000 Ge
0.0000 0.5000 0.0000 N
0.5000 0.0000 0.0000 N
0.0000 0.0000 0.5000 O
```

Computed properties:
**Symmetry**: P4/mmm (123)
**Energy relative to the elements, uncorrected**: 5.92 eV/f.u.
**Total magnetization**: 2.9 Bohr magnetons per cell